(A)
VASP calculation (PBE) on a geometry-optimized LaTaOs structure.

Properties
Volume in Å³ per atom: 24.00
Space-group type: F-43m, No. 216

abc: 4.6698 4.6698 4.6698
angles: 60.00 60.00 60.00
With the nearest neighbours (Å) after each atom.
Fractional positions:
La  0.5000  0.5000  0.5000  4 Os 2.86
Ta  0.0000  0.0000  0.0000  4 Os 2.86
Os  0.2500  0.2500  0.2500  4 Ta 2.86, 4 La 2.86

(B)
VASP calculation (PBE) on a geometry-optimized LaTaOs structure.

Properties
Volume in Å³ per atom: 24.86
Space-group type: P3m1, No. 156

abc: 4.2902 4.2902 4.6795
angles: 90.00 90.00 120.00
With the nearest neighbours (Å) after each atom.
Fractional positions:
Ta  0.6667  0.3333  0.5303  3 Os 2.50
La  0.0000  0.0000  0.0160  3 Os 3.21, 6 Ta 3.36-3.45
Os  0.3333  0.6667  0.4537  3 Ta 2.50

(C)
VASP calculation (PBE) on a geometry-optimized LaTaOs structure.

Properties
Volume in Å³ per atom: 22.26
Space-group type: F-43m, No. 216

abc: 4.5537 4.5537 4.5537
angles: 60.00 60.00 60.00
With the nearest neighbours (Å) after each atom.
Fractional positions:
La  0.2500  0.2500  0.2500  4 Ta 2.79, 4 Os 2.79
Ta  0.5000  0.5000  0.5000  4 La 2.79
Os  0.0000  0.0000  0.0000  4 La 2.79

If we sort the structures by their calculated energies, the order from most to least stable is (B), (A), (C).